[1]
Cd2Cu | the Alexandria database | PBEsol | relaxed; energy relative to the elements = 0.0451 eV per atom; raw total energy = -6.6 eV/cell; space-group type = I4/mmm (139)
1.0
-2.0342 2.2500 0.7054
-1.8075 -2.0862 1.4418
4.4775 0.8170 3.4320
Cu Cd
1 2
Direct
0.0000 0.0000 0.0000
0.3489 0.3489 0.6978
0.6511 0.6511 0.3022



[2]
Sr2BSb2 | the Alexandria database | PBEsol | relaxed; raw total energy = -18.5 eV/cell; space-group type = I4/mmm (139); formation energy without anion corrections = 0.26 eV/atom
1.0
-2.2094 -1.4904 3.1115
-3.0093 -0.9744 -2.6036
6.2977 -6.8332 -1.4985
Sb Sr B
2 2 1
Direct
0.2500 0.7500 0.5000
0.7500 0.2500 0.5000
0.4058 0.4058 0.8116
0.5942 0.5942 0.1884
0.0000 0.0000 0.0000



[3]
Cr2OsRu | the Alexandria database | PBEsol | relaxed; energy relative to the elements = 0.3425 eV per atom; energy relative to the lowest polymorph listed for this composition = 209 meV/atom; raw total energy = -41.5 eV/cell; space-group type = Immm (71)
1.0
-2.2221 0.2382 1.8088
-1.2838 -3.9615 -1.0556
4.0648 0.3009 2.6691
Cr Ru Os
2 1 1
Direct
0.7547 0.7547 0.5094
0.2453 0.2453 0.4906
0.0000 0.5000 0.0000
0.5000 0.0000 0.0000



[4]
ZnHg2Ir | the Alexandria database | PBEsol | relaxed; energy relative to the elements = 0.2687 eV per atom; raw total energy = -11.5 eV/cell; space-group type = Cmmm (65)
1.0
-1.6905 -2.6157 0.1073
1.3842 -0.7084 4.5384
-4.0276 2.6055 0.0621
Hg Ir Zn
2 1 1
Direct
0.0000 0.0000 0.5000
0.0000 0.5000 0.0000
0.5000 0.0000 0.0000
0.5000 0.5000 0.5000



[5]
Ta2AlTl | the Alexandria database | PBEsol | relaxed; energy relative to the elements = 0.2575 eV per atom; raw total energy = -30.8 eV/cell; space-group type = C2/m (12)
1.0
3.0063 0.0000 0.0000
-1.5031 4.8762 0.0053
0.0000 -1.0105 5.0107
Ta Al Tl
2 1 1
Direct
0.7457 0.4914 0.7387
0.2543 0.5086 0.2613
0.0000 0.0000 0.5000
0.5000 0.0000 0.0000



[6]
LaZrNi2 | the Alexandria database | PBEsol | relaxed; energy relative to the elements = -0.1279 eV per atom; raw total energy = -27.3 eV/cell; space-group type = R3m (160)
1.0
-3.2144 1.4365 1.9465
-0.3910 -0.6048 3.9581
1.6779 5.2966 3.0196
Ni La Zr
2 1 1
Direct
0.0516 0.0516 0.8451
0.7199 0.7199 0.8402
0.2720 0.2720 0.1839
0.4564 0.4564 0.6308



[7]
BaTlRh2 | the Alexandria database | PBEsol | relaxed; energy relative to the elements = 0.2939 eV per atom; raw total energy = -19.9 eV/cell; space-group type = I-4m2 (119)
1.0
4.0441 0.0000 0.0000
0.0000 4.0441 0.0000
-2.0221 -2.0221 5.0848
Rh Tl Ba
2 1 1
Direct
0.0000 0.0000 0.0000
0.7500 0.2500 0.5000
0.5000 0.5000 0.0000
0.2500 0.7500 0.5000



[8]
BaSi3 | the Alexandria database | PBEsol | relaxed; raw total energy = -19.3 eV/cell; space-group type = Immm (71); formation energy without anion corrections = 0.01 eV/atom
1.0
-2.0324 -1.3658 3.6337
-3.0927 -4.2396 -0.6814
2.4964 -3.8905 2.5759
Ba Si
1 3
Direct
0.0000 0.0000 0.0000
0.1632 0.3368 0.3368
0.8368 0.6632 0.6632
0.5000 0.5000 0.5000